(1)
Density functional theory data (PBEsol) for an optimized crystal structure of CsIr3S.

a = 4.568 Å, b = 4.568 Å, c = 4.568 Å
α = 90.00°, β = 90.00°, γ = 90.00°
Fractional positions:
1 Ir 0.500 0.000 0.000
2 Ir 0.000 0.000 0.500
3 Ir 0.000 0.500 0.000
4 S 0.000 0.000 0.000
5 Cs 0.500 0.500 0.500

**Space-group type**: Pm-3m (221)
**Raw formation energy**: 1.147 eV per atom
**DFT total energy**: -5.813 eV/atom

(2)
Density functional theory data (PBEsol) for an optimized crystal structure of Y4CdS7.

a = 3.789 Å, b = 6.541 Å, c = 11.431 Å
α = 104.76°, β = 90.00°, γ = 106.83°
Fractional positions:
1 S 0.265 0.530 0.646
2 Y 0.890 0.779 0.571
3 Y 0.993 0.986 0.003
4 S 0.525 0.050 0.530
5 S 0.959 0.918 0.221
6 Y 0.685 0.370 0.791
7 S 0.333 0.666 0.945
8 Cd 0.118 0.237 0.420
9 S 0.654 0.309 0.046
10 Y 0.299 0.598 0.191
11 S 0.744 0.488 0.348
12 S 0.035 0.070 0.788

**Space-group type**: Cm (8)
**Raw formation energy**: -1.855 eV per atom
**DFT total energy**: -6.786 eV/atom

(3)
Density functional theory data (PBEsol) for an optimized crystal structure of SrTl2Tc.

a = 4.421 Å, b = 4.421 Å, c = 5.768 Å
α = 112.54°, β = 112.54°, γ = 90.00°
Fractional positions:
1 Tl 0.750 0.250 0.500
2 Tc 0.250 0.750 0.500
3 Tl 0.000 0.000 0.000
4 Sr 0.500 0.500 0.000

**Space-group type**: I-4m2 (119)
**E_form**: 54.7 kJ/mol of atoms
**DFT total energy**: -4.025 eV/atom
**Offset from the most stable computed form**: 278 meV per atom

Question: What is the formula in the third record?
Answer: SrTl2Tc